## w
DFT (GGA-PBE) results for a relaxed CsTbOs crystal.

The structure in CIF format:
```
data_CsTbOs
_chemical_formula_sum 'Cs4 Tb4 Os4'
_cell_length_a 7.065
_cell_length_b 7.065
_cell_length_c 7.065
_cell_angle_alpha 90.00
_cell_angle_beta 90.00
_cell_angle_gamma 90.00
_space_group_name_H-M_alt 'F -4 3 m'
_space_group_IT_number 216
_space_group_name_Hall 'F -4 2 3'
loop_
_atom_site_label
_atom_site_fract_x
_atom_site_fract_y
_atom_site_fract_z
_atom_site_occupancy
Cs1 0.000 0.000 0.000 1
Tb1 0.000 0.000 0.500 1
Os1 0.250 0.250 0.250 1
```

Results
ρ in kg/m³: 9080


## x
DFT (GGA-PBE) results for a relaxed CsTbOs crystal.

The structure in CIF format:
```
data_CsTbOs
_chemical_formula_sum 'Cs4 Tb4 Os4'
_cell_length_a 6.890
_cell_length_b 6.890
_cell_length_c 6.890
_cell_angle_alpha 90.00
_cell_angle_beta 90.00
_cell_angle_gamma 90.00
_space_group_name_H-M_alt 'F -4 3 m'
_space_group_IT_number 216
_space_group_name_Hall 'F -4 2 3'
loop_
_atom_site_label
_atom_site_fract_x
_atom_site_fract_y
_atom_site_fract_z
_atom_site_occupancy
Cs1 0.000 0.000 0.000 1
Tb1 0.250 0.250 0.750 1
Os1 0.250 0.250 0.250 1
```

Results
ρ in kg/m³: 9790


The winner here is w, beating the second structure by 891 meV/atom.


## w
DFT (GGA-PBE) results for a relaxed LiIn2Pt crystal.

The structure in CIF format:
```
data_LiIn2Pt
_chemical_formula_sum 'Li4 In8 Pt4'
_cell_length_a 7.634
_cell_length_b 7.988
_cell_length_c 5.535
_cell_angle_alpha 90.00
_cell_angle_beta 90.00
_cell_angle_gamma 90.00
_space_group_name_H-M_alt 'P n m a'
_space_group_IT_number 62
loop_
_space_group_symop_operation_xyz
'x,y,z'
'-x,-y,-z'
'-x+1/2,-y,z+1/2'
'x+1/2,y,-z+1/2'
'x+1/2,-y+1/2,-z+1/2'
'-x+1/2,y+1/2,z+1/2'
'-x,y+1/2,-z'
'x,-y+1/2,z'
loop_
_atom_site_label
_atom_site_fract_x
_atom_site_fract_y
_atom_site_fract_z
_atom_site_occupancy
Li1 0.032 0.250 0.096 1
In1 0.173 0.048 0.631 1
Pt1 0.120 0.750 0.403 1
```

Results
ρ in kg/m³: 8494


## x
DFT (GGA-PBE) results for a relaxed LiIn2Pt crystal.

The structure in CIF format:
```
data_LiIn2Pt
_chemical_formula_sum 'Li2 In4 Pt2'
_cell_length_a 4.668
_cell_length_b 4.677
_cell_length_c 6.595
_cell_angle_alpha 90.00
_cell_angle_beta 90.00
_cell_angle_gamma 90.00
_space_group_name_H-M_alt 'I m m m'
_space_group_IT_number 71
_space_group_name_Hall '-I 2 2'
loop_
_atom_site_label
_atom_site_fract_x
_atom_site_fract_y
_atom_site_fract_z
_atom_site_occupancy
Li1 0.000 0.000 0.000 1
In1 0.000 0.500 0.250 1
Pt1 0.000 0.000 0.500 1
```

Results
ρ in kg/m³: 9956


The winner here is x, beating the second structure by 52 meV/atom.


## w
DFT (GGA-PBE) results for a relaxed GdGeSO crystal.

The structure in CIF format:
```
data_GdGeSO
_chemical_formula_sum 'Gd8 Ge8 S8 O8'
_cell_length_a 6.496
_cell_length_b 13.418
_cell_length_c 7.570
_cell_angle_alpha 90.00
_cell_angle_beta 90.00
_cell_angle_gamma 90.00
_space_group_name_H-M_alt 'P b c a'
_space_group_IT_number 61
loop_
_space_group_symop_operation_xyz
'x,y,z'
'-x,-y,-z'
'-x+1/2,-y,z+1/2'
'x+1/2,y,-z+1/2'
'x+1/2,-y+1/2,-z'
'-x+1/2,y+1/2,z'
'-x,y+1/2,-z+1/2'
'x,-y+1/2,z+1/2'
loop_
_atom_site_label
_atom_site_fract_x
_atom_site_fract_y
_atom_site_fract_z
_atom_site_occupancy
Gd1 0.179 0.230 0.122 1
Ge1 0.222 0.514 0.522 1
S1 0.007 0.076 0.332 1
O1 0.156 0.735 0.866 1
```

Results
ρ in kg/m³: 5596


## x
DFT (GGA-PBE) results for a relaxed GdGeSO crystal.

The structure in CIF format:
```
data_GdGeSO
_chemical_formula_sum 'Gd8 Ge8 S8 O8'
_cell_length_a 6.416
_cell_length_b 14.010
_cell_length_c 7.583
_cell_angle_alpha 90.00
_cell_angle_beta 90.00
_cell_angle_gamma 90.00
_space_group_name_H-M_alt 'P b c a'
_space_group_IT_number 61
loop_
_space_group_symop_operation_xyz
'x,y,z'
'-x,-y,-z'
'-x+1/2,-y,z+1/2'
'x+1/2,y,-z+1/2'
'x+1/2,-y+1/2,-z'
'-x+1/2,y+1/2,z'
'-x,y+1/2,-z+1/2'
'x,-y+1/2,z+1/2'
loop_
_atom_site_label
_atom_site_fract_x
_atom_site_fract_y
_atom_site_fract_z
_atom_site_occupancy
Gd1 0.166 0.219 0.121 1
Ge1 0.177 0.518 0.439 1
S1 0.011 0.576 0.170 1
O1 0.168 0.738 0.863 1
```

Results
ρ in kg/m³: 5417


The winner here is x, beating the second structure by 25 meV/atom.


## w
DFT (GGA-PBE) results for a relaxed TaNiBPt crystal.

The structure in CIF format:
```
data_TaNiBPt
_chemical_formula_sum 'Ta4 Ni4 B4 Pt4'
_cell_length_a 5.971
_cell_length_b 5.971
_cell_length_c 5.971
_cell_angle_alpha 90.00
_cell_angle_beta 90.00
_cell_angle_gamma 90.00
_space_group_name_H-M_alt 'F -4 3 m'
_space_group_IT_number 216
_space_group_name_Hall 'F -4 2 3'
loop_
_atom_site_label
_atom_site_fract_x
_atom_site_fract_y
_atom_site_fract_z
_atom_site_occupancy
Ta1 0.000 0.000 0.000 1
Ni1 0.250 0.250 0.750 1
B1 0.000 0.000 0.500 1
Pt1 0.250 0.250 0.250 1
```

Results
ρ in kg/m³: 13899


## x
DFT (GGA-PBE) results for a relaxed TaNiBPt crystal.

The structure in CIF format:
```
data_TaNiBPt
_chemical_formula_sum 'Ta4 Ni4 B4 Pt4'
_cell_length_a 5.954
_cell_length_b 5.954
_cell_length_c 5.954
_cell_angle_alpha 90.00
_cell_angle_beta 90.00
_cell_angle_gamma 90.00
_space_group_name_H-M_alt 'F -4 3 m'
_space_group_IT_number 216
_space_group_name_Hall 'F -4 2 3'
loop_
_atom_site_label
_atom_site_fract_x
_atom_site_fract_y
_atom_site_fract_z
_atom_site_occupancy
Ta1 0.000 0.000 0.000 1
Ni1 0.000 0.000 0.500 1
B1 0.250 0.250 0.250 1
Pt1 0.250 0.250 0.750 1
```

Results
ρ in kg/m³: 14019


The winner here is x, beating the second structure by 113 meV/atom.


## w
DFT (GGA-PBE) results for a relaxed YAgF3 crystal.

The structure in CIF format:
```
data_YAgF3
_chemical_formula_sum 'Y6 Ag6 F18'
_cell_length_a 5.5816
_cell_length_b 5.5816
_cell_length_c 18.6160
_cell_angle_alpha 90.00
_cell_angle_beta 90.00
_cell_angle_gamma 120.00
_space_group_name_H-M_alt 'R -3'
_space_group_IT_number 148
_space_group_name_Hall '-R 3'
loop_
_atom_site_label
_atom_site_fract_x
_atom_site_fract_y
_atom_site_fract_z
_atom_site_occupancy
Y1 0.0000 0.0000 0.2005 1
Ag1 0.0000 0.0000 0.3580 1
F1 0.0291 0.7347 0.1143 1
```

Results
ρ in kg/m³: 5034


## x
DFT (GGA-PBE) results for a relaxed YAgF3 crystal.

The structure in CIF format:
```
data_YAgF3
_chemical_formula_sum 'Y6 Ag6 F18'
_cell_length_a 6.1540
_cell_length_b 6.1540
_cell_length_c 14.8886
_cell_angle_alpha 90.00
_cell_angle_beta 90.00
_cell_angle_gamma 120.00
_space_group_name_H-M_alt 'R -3 c'
_space_group_IT_number 167
_space_group_name_Hall '-R 3 2"c'
loop_
_atom_site_label
_atom_site_fract_x
_atom_site_fract_y
_atom_site_fract_z
_atom_site_occupancy
Y1 0.0000 0.0000 0.0000 1
Ag1 0.0000 0.0000 0.2500 1
F1 0.0000 0.4615 0.2500 1
```

Results
ρ in kg/m³: 5178


The winner here is w, beating the second structure by 18 meV/atom.